Entry from the Alexandria database: a geometry-optimized NbNi2Te structure (PBE-GGA).

abc: 6.9689 6.9689 5.4447
angles: 90.00 90.00 90.00
Element x y z (fractional)
Nb: 0.0000 0.0000 0.0000
Nb: 0.0000 0.5000 0.2500
Nb: 0.5000 0.0000 0.7500
Nb: 0.5000 0.5000 0.5000
Ni: 0.2424 0.2500 0.6250
Ni: 0.2500 0.7424 0.8750
Ni: 0.2500 0.7576 0.3750
Ni: 0.2576 0.2500 0.1250
Ni: 0.7424 0.7500 0.1250
Ni: 0.7500 0.2424 0.3750
Ni: 0.7500 0.2576 0.8750
Ni: 0.7576 0.7500 0.6250
Te: 0.0000 0.0000 0.5000
Te: 0.0000 0.5000 0.7500
Te: 0.5000 0.0000 0.2500
Te: 0.5000 0.5000 0.0000

Calculated values
N(E_F) ... 4.734 states/eV/f.u.
M_tot ... 0.00 μB per cell
Uncorrected formation energy ... 0.150 eV/atom



Entry from the Alexandria database: a geometry-optimized Nb3NiTe structure (PBE-GGA).

abc: 4.6769 4.6769 4.6769
angles: 90.00 90.00 90.00
Element x y z (fractional)
Nb: 0.0000 0.0000 0.5000
Nb: 0.0000 0.5000 0.0000
Nb: 0.5000 0.0000 0.0000
Ni: 0.0000 0.0000 0.0000
Te: 0.5000 0.5000 0.5000

Calculated values
N(E_F) ... 10.786 states/eV/f.u.
M_tot ... 0.00 μB per cell
ΔE to the lowest computed polymorph ... 0.000 eV/f.u.
Uncorrected formation energy ... 0.651 eV/atom



Entry from the Alexandria database: a geometry-optimized Nb2Ni5Te6 structure (PBE-GGA).

abc: 7.7580 8.3338 10.4128
angles: 102.77 98.73 117.67
Element x y z (fractional)
Nb: 0.1286 0.0050 0.1432
Nb: 0.2973 0.9988 0.8537
Nb: 0.7027 0.0012 0.1463
Nb: 0.8714 0.9950 0.8568
Ni: 0.0686 0.0329 0.6209
Ni: 0.0979 0.5823 0.7532
Ni: 0.2920 0.6438 0.4121
Ni: 0.3119 0.1398 0.4381
Ni: 0.3954 0.3967 0.2709
Ni: 0.6046 0.6033 0.7291
Ni: 0.6881 0.8602 0.5619
Ni: 0.7080 0.3562 0.5879
Ni: 0.9021 0.4177 0.2468
Ni: 0.9314 0.9671 0.3791
Te: 0.0886 0.2811 0.3492
Te: 0.0892 0.7742 0.3174
Te: 0.2577 0.7551 0.0083
Te: 0.2652 0.2888 0.0122
Te: 0.4076 0.7605 0.6750
Te: 0.4336 0.2541 0.6969
Te: 0.5664 0.7459 0.3031
Te: 0.5924 0.2395 0.3250
Te: 0.7348 0.7112 0.9878
Te: 0.7423 0.2449 0.9917
Te: 0.9108 0.2258 0.6826
Te: 0.9114 0.7189 0.6508

Calculated values
N(E_F) ... 8.423 states/eV/f.u.
M_tot ... 0.00 μB per cell
ΔE to the lowest computed polymorph ... 1.877 eV/f.u.
Uncorrected formation energy ... -0.199 eV/atom



Entry from the Alexandria database: a geometry-optimized NbNiTe2 structure (PBE-GGA).

abc: 8.6104 6.3246 8.0084
angles: 90.00 117.22 90.00
Element x y z (fractional)
Nb: 0.0130 0.0123 0.3038
Nb: 0.0130 0.4877 0.8038
Nb: 0.9870 0.5123 0.1962
Nb: 0.9870 0.9877 0.6962
Ni: 0.1130 0.6443 0.5560
Ni: 0.1130 0.8557 0.0560
Ni: 0.8870 0.1443 0.9440
Ni: 0.8870 0.3557 0.4440
Te: 0.2151 0.2492 0.1266
Te: 0.2151 0.2508 0.6266
Te: 0.3046 0.7475 0.4010
Te: 0.3046 0.7525 0.9010
Te: 0.6954 0.2475 0.0990
Te: 0.6954 0.2525 0.5990
Te: 0.7849 0.7492 0.3734
Te: 0.7849 0.7508 0.8734

Calculated values
N(E_F) ... 2.527 states/eV/f.u.
M_tot ... 0.00 μB per cell
Uncorrected formation energy ... -0.452 eV/atom



Entry from the Alexandria database: a geometry-optimized NbNiTe2 structure (PBE-GGA).

abc: 6.8173 6.8173 6.8173
angles: 90.00 90.00 90.00
Element x y z (fractional)
Nb: 0.0000 0.0000 0.0000
Nb: 0.0000 0.5000 0.5000
Nb: 0.5000 0.0000 0.5000
Nb: 0.5000 0.5000 0.0000
Ni: 0.0000 0.0000 0.5000
Ni: 0.0000 0.5000 0.0000
Ni: 0.5000 0.0000 0.0000
Ni: 0.5000 0.5000 0.5000
Te: 0.2500 0.2500 0.2500
Te: 0.2500 0.2500 0.7500
Te: 0.2500 0.7500 0.2500
Te: 0.2500 0.7500 0.7500
Te: 0.7500 0.2500 0.2500
Te: 0.7500 0.2500 0.7500
Te: 0.7500 0.7500 0.2500
Te: 0.7500 0.7500 0.7500

Calculated values
N(E_F) ... 5.796 states/eV/f.u.
M_tot ... 3.62 μB per cell
Uncorrected formation energy ... 0.202 eV/atom



Entry from the Alexandria database: a geometry-optimized NbNiTe2 structure (PBE-GGA).

abc: 6.1107 6.1107 11.7403
angles: 90.00 90.00 90.00
Element x y z (fractional)
Nb: 0.0000 0.0000 0.0000
Nb: 0.0000 0.5000 0.2500
Nb: 0.5000 0.0000 0.7500
Nb: 0.5000 0.5000 0.5000
Ni: 0.0000 0.0000 0.5000
Ni: 0.0000 0.5000 0.7500
Ni: 0.5000 0.0000 0.2500
Ni: 0.5000 0.5000 0.0000
Te: 0.2199 0.2500 0.6250
Te: 0.2500 0.7199 0.8750
Te: 0.2500 0.7801 0.3750
Te: 0.2801 0.2500 0.1250
Te: 0.7199 0.7500 0.1250
Te: 0.7500 0.2199 0.3750
Te: 0.7500 0.2801 0.8750
Te: 0.7801 0.7500 0.6250

Calculated values
N(E_F) ... 2.151 states/eV/f.u.
M_tot ... 3.83 μB per cell
Uncorrected formation energy ... 0.119 eV/atom